Computed, not measured: a relaxed structure of Tc2IrPb at the PBE level of DFT.

Geometry as extended XYZ:
```
4
Lattice="-5.031 -1.522 7.831 -2.357 -1.465 9.014 -3.811 1.033 8.565" Properties=species:S:1:pos:R:3 pbc="T T T"
Pb -8.400 -1.465 19.058
Tc -11.098 -1.936 25.178
Tc -2.805 -0.489 6.364
Ir -5.696 -0.994 12.922
```

Values from the calculation:
* ΔH_f (0 K): 472 meV per atom
* ρ: 14.4 g/cm3
* DFT total energy: -7.853 eV/atom
* magnetic moment: 0.00 μB per formula unit